No. 1
Compound: CsSnBr5
Source: Alexandria via LeMat-Bulk
Functional: PBE
Structure: relaxed

Output
E_tot ... -2.85 eV/atom
E_form (uncorrected) ... -0.960 eV per atom
Space-group type ... Imm2 (44)

Cell and atoms, written as POSCAR:
```
CsSnBr5
1.0
-4.134 4.522 4.963
4.134 -4.522 4.963
4.134 4.522 -4.963
Cs Sn Br
1 1 5
Direct
0.000 0.000 0.000
0.801 0.301 0.500
0.059 0.559 0.500
0.101 0.310 0.791
0.519 0.310 0.209
0.670 0.436 0.766
0.670 0.905 0.234
```

***

No. 2
Compound: NaSr2Tl2
Source: Alexandria via LeMat-Bulk
Functional: PBE
Structure: relaxed

Output
E_tot ... -2.09 eV/atom
Energy of formation ... -205 meV per atom
Offset from the most stable computed form ... 95 meV per atom
Space-group type ... P4/mbm (127)

Cell and atoms, written as POSCAR:
```
NaSr2Tl2
1.0
9.667 0.000 0.000
0.000 9.667 0.000
0.000 0.000 3.966
Na Sr Tl
2 4 4
Direct
0.000 0.000 0.000
0.500 0.500 0.000
0.147 0.353 0.000
0.353 0.853 0.000
0.647 0.147 0.000
0.853 0.647 0.000
0.150 0.650 0.500
0.350 0.150 0.500
0.650 0.850 0.500
0.850 0.350 0.500
```

***

No. 3
Compound: RbCuAgI3
Source: Alexandria via LeMat-Bulk
Functional: PBE
Structure: relaxed

Output
E_tot ... -2.68 eV/atom
E_form (uncorrected) ... -0.588 eV per atom
Space-group type ... P2_1/m (11)

Cell and atoms, written as POSCAR:
```
RbCuAgI3
1.0
9.969 0.000 0.000
0.000 4.389 0.000
-2.493 0.000 10.102
Rb Cu Ag I
2 2 2 6
Direct
0.186 0.250 0.218
0.814 0.750 0.782
0.063 0.250 0.571
0.937 0.750 0.429
0.350 0.750 0.893
0.650 0.250 0.107
0.126 0.250 0.840
0.204 0.750 0.521
0.465 0.750 0.177
0.535 0.250 0.823
0.796 0.250 0.479
0.874 0.750 0.160
```

***

No. 4
Compound: MnCu2Te
Source: Alexandria via LeMat-Bulk
Functional: PBE
Structure: relaxed

Output
E_tot ... -4.89 eV/atom
E_form (uncorrected) ... 0.235 eV per atom
Space-group type ... I4/mmm (139)

Cell and atoms, written as POSCAR:
```
MnCu2Te
1.0
-1.949 1.949 4.185
1.949 -1.949 4.185
1.949 1.949 -4.185
Mn Cu Te
1 2 1
Direct
0.000 0.000 0.000
0.250 0.750 0.500
0.750 0.250 0.500
0.500 0.500 0.000
```

***

No. 5
Compound: Cu2Ru
Source: Alexandria via LeMat-Bulk
Functional: PBE
Structure: relaxed

Output
E_tot ... -5.65 eV/atom
Energy of formation ... 170 meV per atom
Offset from the most stable computed form ... 31 meV per atom
Space-group type ... Cmcm (63)

Cell and atoms, written as POSCAR:
```
Cu2Ru
1.0
1.313 -6.928 0.000
1.313 6.928 0.000
0.000 0.000 4.236
Cu Ru
4 2
Direct
0.054 0.946 0.750
0.394 0.606 0.750
0.606 0.394 0.250
0.946 0.054 0.250
0.279 0.721 0.250
0.721 0.279 0.750
```

***

No. 6
Compound: Rb2AsCBr6
Source: Alexandria via LeMat-Bulk
Functional: PBE
Structure: relaxed

Output
E_tot ... -2.93 eV/atom
E_form (uncorrected) ... -0.342 eV per atom
Space-group type ... I4/mmm (139)

Cell and atoms, written as POSCAR:
```
Rb2AsCBr6
1.0
-3.708 3.708 5.257
3.708 -3.708 5.257
3.708 3.708 -5.257
Rb As C Br
2 1 1 6
Direct
0.250 0.750 0.500
0.750 0.250 0.500
0.000 0.000 0.000
0.500 0.500 0.000
0.257 0.257 0.000
0.258 0.258 0.516
0.258 0.742 0.000
0.742 0.258 0.000
0.742 0.742 0.484
0.743 0.743 0.000
```

***

No. 7
Compound: TiNbTe2N
Source: Alexandria via LeMat-Bulk
Functional: PBE
Structure: relaxed

Output
E_tot ... -5.12 eV/atom
E_form (uncorrected) ... 1.398 eV per atom
Offset from the most stable computed form ... 1204 meV per atom
Space-group type ... P4/mmm (123)

Cell and atoms, written as POSCAR:
```
TiNbTe2N
1.0
5.371 0.000 0.000
0.000 5.371 0.000
0.000 0.000 4.922
Ti Nb Te N
1 1 2 1
Direct
0.000 0.000 0.000
0.000 0.000 0.500
0.000 0.500 0.500
0.500 0.000 0.500
0.500 0.500 0.000
```

***

No. 8
Compound: CsPrCd2Br8
Source: Alexandria via LeMat-Bulk
Functional: PBE
Structure: relaxed

Output
E_tot ... -3.05 eV/atom
E_form (uncorrected) ... -1.313 eV per atom
Space-group type ... P-1 (2)

Cell and atoms, written as POSCAR:
```
CsPrCd2Br8
1.0
7.105 0.000 0.000
1.897 6.999 0.000
2.427 2.376 9.588
Cs Pr Cd Br
1 1 2 8
Direct
0.000 0.000 0.000
0.000 0.000 0.500
0.459 0.445 0.215
0.541 0.555 0.785
0.162 0.701 0.736
0.258 0.790 0.295
0.288 0.239 0.466
0.393 0.282 0.030
0.607 0.718 0.970
0.712 0.761 0.534
0.742 0.210 0.705
0.838 0.299 0.264
```

***

no.,volume (Å³/f.u.),total moment (μB per formula unit),density of states at the Fermi level (states/eV/f.u.)
1,371.1,0.00,0.00
2,185.3,0.00,2.52
3,221.0,0.00,0.00
4,63.6,3.87,1.29
5,38.5,0.00,2.52
6,289.2,0.47,3.36
7,142.0,1.87,6.02
8,476.8,0.00,0.00